A relaxed ScSb5 crystal, computed with GGA-PBE.

Cell and atoms, written as extended XYZ:
```
6
Lattice="6.042 0.000 0.000 -3.021 5.232 0.000 0.000 0.000 5.631" Properties=species:S:1:pos:R:3 pbc="T T T"
Sc 0.000 0.000 0.000
Sb -1.510 2.616 2.816
Sb 0.000 3.488 0.000
Sb 3.021 0.000 2.816
Sb 1.510 2.616 2.816
Sb 3.021 1.744 0.000
```

The density of states at the Fermi level is 4.9 states/eV/cell. The value obtained for the size of the total moment is 0.0 μB/f.u. The value obtained for the energy relative to the elements, uncorrected is 0.282 eV per atom. The calculation puts the uncorrected energy at -25.25 eV per cell. As for the space-group type: P6/mmm. The energy above the lowest structure with this stoichiometry is 0.4107 eV per atom.



A relaxed Sc4Sb crystal, computed with GGA-PBE.

Cell and atoms, written as extended XYZ:
```
5
Lattice="5.352 0.000 0.000 0.000 5.352 0.000 0.000 0.000 5.352" Properties=species:S:1:pos:R:3 pbc="T T T"
Sc 0.000 0.000 0.000
Sc 0.000 2.676 2.676
Sc 2.676 0.000 2.676
Sc 2.676 2.676 0.000
Sb 2.676 2.676 2.676
```

The density of states at the Fermi level is 9.0 states/eV/cell. The value obtained for the size of the total moment is 2.2 μB/f.u. The value obtained for the energy relative to the elements, uncorrected is 0.224 eV per atom. The calculation puts the uncorrected energy at -28.33 eV per cell. As for the space-group type: Pm-3m. The energy above the lowest structure with this stoichiometry is 0.4258 eV per atom.



A relaxed Sc5Sb crystal, computed with GGA-PBE.

Cell and atoms, written as extended XYZ:
```
6
Lattice="5.782 -1.714 0.000 5.782 1.714 0.000 -1.935 0.000 7.187" Properties=species:S:1:pos:R:3 pbc="T T T"
Sc 0.000 0.000 0.000
Sc -0.818 0.000 4.315
Sc 3.970 0.000 1.914
Sc 7.052 0.000 2.441
Sc 6.470 0.000 6.644
Sb 2.469 0.000 4.757
```

The density of states at the Fermi level is 9.0 states/eV/cell. The value obtained for the size of the total moment is 0.0 μB/f.u. The value obtained for the energy relative to the elements, uncorrected is -0.283 eV per atom. The calculation puts the uncorrected energy at -37.48 eV per cell. As for the space-group type: Cm. The energy above the lowest structure with this stoichiometry is 0.0406 eV per atom.



A relaxed ScSb crystal, computed with GGA-PBE.

Cell and atoms, written as extended XYZ:
```
6
Lattice="5.419 -1.979 0.000 5.419 1.979 0.000 -2.511 0.000 6.946" Properties=species:S:1:pos:R:3 pbc="T T T"
Sc 0.000 0.000 0.000
Sc -0.336 0.000 4.369
Sc 2.710 0.000 1.877
Sb 2.673 0.000 4.732
Sb 5.701 0.000 2.212
Sb 5.430 0.000 6.616
```

The density of states at the Fermi level is 3.5 states/eV/cell. The value obtained for the size of the total moment is 0.0 μB/f.u. The value obtained for the energy relative to the elements, uncorrected is -0.757 eV per atom. The calculation puts the uncorrected energy at -35.90 eV per cell. As for the space-group type: Cm.



A relaxed ScSb crystal, computed with GGA-PBE.

Cell and atoms, written as extended XYZ:
```
8
Lattice="-4.948 4.948 2.896 4.948 -4.948 2.896 4.948 4.948 -2.896" Properties=species:S:1:pos:R:3 pbc="T T T"
Sc 6.337 1.377 0.000
Sc 1.377 3.559 0.000
Sc 3.571 1.389 2.896
Sc -1.389 3.571 2.896
Sb 3.442 1.526 0.000
Sb 3.423 -1.506 2.896
Sb 1.526 6.455 0.000
Sb 1.506 3.423 2.896
```

The density of states at the Fermi level is 0.7 states/eV/cell. The value obtained for the size of the total moment is 0.0 μB/f.u. The value obtained for the energy relative to the elements, uncorrected is -0.697 eV per atom. The calculation puts the uncorrected energy at -47.39 eV per cell. As for the space-group type: I4/m.



A relaxed Sc8Sb crystal, computed with GGA-PBE.

Cell and atoms, written as extended XYZ:
```
9
Lattice="-4.925 4.925 2.203 4.925 -4.925 2.203 4.925 4.925 -2.203" Properties=species:S:1:pos:R:3 pbc="T T T"
Sc 3.302 0.000 0.000
Sc 6.548 0.000 0.000
Sc 0.000 3.302 0.000
Sc 3.315 3.315 0.000
Sc 1.610 -1.610 2.203
Sc -1.610 1.610 2.203
Sc 1.610 1.610 2.203
Sc 0.000 6.548 0.000
Sb 0.000 0.000 0.000
```

The density of states at the Fermi level is 16.5 states/eV/cell. The value obtained for the size of the total moment is 0.0 μB/f.u. The value obtained for the energy relative to the elements, uncorrected is -0.196 eV per atom. The calculation puts the uncorrected energy at -56.54 eV per cell. As for the space-group type: I4/mmm.



A relaxed Sc3Sb5 crystal, computed with GGA-PBE.

Cell and atoms, written as extended XYZ:
```
16
Lattice="8.711 0.000 0.000 -4.355 7.544 0.000 0.000 0.000 6.008" Properties=species:S:1:pos:R:3 pbc="T T T"
Sc -1.683 2.915 1.502
Sc -2.672 4.628 4.506
Sc 3.366 0.000 1.502
Sc 1.683 2.915 4.506
Sc 5.344 0.000 4.506
Sc 2.672 4.628 1.502
Sb -1.020 1.767 4.506
Sb -3.335 5.777 1.502
Sb 2.040 0.000 4.506
Sb 1.020 1.767 1.502
Sb 0.000 5.029 0.000
Sb 0.000 5.029 3.004
Sb 4.355 2.515 0.000
Sb 4.355 2.515 3.004
Sb 6.671 0.000 1.502
Sb 3.335 5.777 4.506
```

The density of states at the Fermi level is 12.5 states/eV/cell. The value obtained for the size of the total moment is 0.0 μB/f.u. The value obtained for the energy relative to the elements, uncorrected is -0.505 eV per atom. The calculation puts the uncorrected energy at -87.29 eV per cell. As for the space-group type: P6_3/mcm. The energy above the lowest structure with this stoichiometry is 0.0000 eV per atom.



A relaxed Sc5Sb crystal, computed with GGA-PBE.

Cell and atoms, written as extended XYZ:
```
6
Lattice="5.637 0.000 0.000 -2.819 4.882 0.000 0.000 0.000 5.079" Properties=species:S:1:pos:R:3 pbc="T T T"
Sc -1.923 3.331 0.000
Sc 0.896 1.551 0.000
Sc 0.000 3.255 2.540
Sc 2.819 1.627 2.540
Sc 3.846 0.000 0.000
Sb 0.000 0.000 2.540
```

The density of states at the Fermi level is 8.9 states/eV/cell. The value obtained for the size of the total moment is 0.0 μB/f.u. The value obtained for the energy relative to the elements, uncorrected is -0.307 eV per atom. The calculation puts the uncorrected energy at -37.62 eV per cell. As for the space-group type: P-62m. The energy above the lowest structure with this stoichiometry is 0.0164 eV per atom.